First-principles (GGA-PBE) data for an optimized crystal structure of LiCaNdSi, as listed in the Alexandria database. Values from VASP.

Summary:
The energy relative to the elements, uncorrected comes out at -297 meV per atom. Its space group is No. 216.

Geometry as Quantum ESPRESSO input:
```
&SYSTEM
  ibrav = 0, nat = 4, ntyp = 4
/
ATOMIC_SPECIES
Li 6.94 Li.upf
Ca 40.08 Ca.upf
Nd 144.24 Nd.upf
Si 28.09 Si.upf
ATOMIC_POSITIONS angstrom
Li 0.000 0.000 0.000
Ca 5.456 5.456 5.456
Nd 1.819 1.819 1.819
Si 3.637 3.637 3.637
CELL_PARAMETERS angstrom
0.000 3.637 3.637
3.637 0.000 3.637
3.637 3.637 0.000
```